This record from Alexandria via LeMat-Bulk describes crystalline CaSm2Tl at its relaxed geometry. The functional is PBE.

Computed properties:
- Symmetry: R3m, No. 160
- Offset from the most stable computed form: 182 meV/atom
- Energy of formation from the pure elements: 0.015 eV/atom

abc: 5.6234 5.6234 5.6249
angles: 60.01 60.01 60.00
Each line ends with the local moment (μB).
Element x y z (fractional)
Ca1 0.4998 0.4998 0.5005  0.03
Sm1 0.2499 0.2499 0.2504  0.21
Sm2 0.0003 0.0003 0.9991  0.14
Tl1 0.7500 0.7500 0.7499  0.00

=====

This record from Alexandria via LeMat-Bulk describes crystalline SrLa2MgTc at its relaxed geometry. The functional is PBE.

Computed properties:
- Symmetry: P4/mmm, No. 123
- Offset from the most stable computed form: 0 meV/atom
- Energy of formation from the pure elements: 0.038 eV/atom

abc: 5.4303 5.4303 5.6782
angles: 90.00 90.00 90.00
Element x y z (fractional)
Sr1 0.5000 0.5000 0.5000
La1 0.5000 0.0000 0.0000
La2 0.0000 0.5000 0.0000
Mg1 0.0000 0.0000 0.5000
Tc1 0.0000 0.0000 0.0000

=====

This record from Alexandria via LeMat-Bulk describes crystalline InBC3 at its relaxed geometry. The functional is PBE.

Computed properties:
- Symmetry: Pm-3m, No. 221
- Offset from the most stable computed form: 0 meV/atom
- Energy of formation from the pure elements: 2.400 eV/atom

abc: 3.6450 3.6450 3.6450
angles: 90.00 90.00 90.00
Element x y z (fractional)
In1 0.5000 0.5000 0.5000
B1 0.0000 0.0000 0.0000
C1 0.5000 0.0000 0.0000
C2 0.0000 0.0000 0.5000
C3 0.0000 0.5000 0.0000

=====

This record from Alexandria via LeMat-Bulk describes crystalline YZnCd at its relaxed geometry. The functional is PBE.

Computed properties:
- Symmetry: I4mm, No. 107
- Energy of formation from the pure elements: -0.219 eV/atom

abc: 6.2404 6.2404 3.4186
angles: 74.10 74.10 31.79
Each line ends with the local moment (μB).
Element x y z (fractional)
Cd1 0.0179 0.0179 0.9821  0.00
Zn1 0.6585 0.6585 0.3415  0.00
Y1 0.3236 0.3236 0.6764  0.12

=====

This record from Alexandria via LeMat-Bulk describes crystalline LiNbZn at its relaxed geometry. The functional is PBE.

Computed properties:
- Symmetry: I4mm, No. 107
- Offset from the most stable computed form: 133 meV/atom
- Energy of formation from the pure elements: 0.084 eV/atom

abc: 2.8076 2.8041 12.0919
angles: 90.00 90.00 90.00
Element x y z (fractional)
Nb1 0.0000 0.0000 0.5685
Nb2 0.5000 0.5000 0.0685
Zn1 0.0000 0.0000 0.9033
Zn2 0.5000 0.5000 0.4033
Li1 0.0000 0.0000 0.2565
Li2 0.5000 0.5000 0.7565

=====

This record from Alexandria via LeMat-Bulk describes crystalline Si2IrW at its relaxed geometry. The functional is PBE.

Computed properties:
- Symmetry: Fm-3m, No. 225
- Formation energy from raw total energies: -19 kJ/mol of atoms
- Offset from the most stable computed form: 102 meV/atom

abc: 4.2572 4.2572 4.2572
angles: 60.00 60.00 60.00
Element x y z (fractional)
Si1 0.2500 0.2500 0.2500
Si2 0.7500 0.7500 0.7500
W1 0.0000 0.0000 0.0000
Ir1 0.5000 0.5000 0.5000

=====

Number 1: magnetization 0.719 μB/cell. Number 2: magnetization 0.000 μB/cell. Number 3: magnetization 0.000 μB/cell. Number 4: magnetization 0.215 μB/cell. Number 5: magnetization 0.000 μB/cell. Number 6: magnetization 0.000 μB/cell.